(1)
Crystalline SiAg4Se5 at its relaxed geometry. Source: Alexandria via LeMat-Bulk, functional GGA-PBE.

As for the volume: 432.6 Å³/cell. Its energy relative to the elements, uncorrected is -1.126 eV/f.u. The energy is -70.75 eV for the cell shown.

It has space group I4 (No. 79), with a = 8.8520 Å, b = 8.8520 Å, c = 5.5211 Å, α = 90.00°, β = 90.00° and γ = 90.00°. The distinct sites, in fractional coordinates, are Si at (0.0000, 0.0000, 0.0000), Ag at (0.1150, 0.7140, 0.4457), Se at (0.0000, 0.0000, 0.4238) and Se at (0.0627, 0.7314, 0.9429).

(2)
Crystalline Si2AgSe at its relaxed geometry. Source: Alexandria via LeMat-Bulk, functional GGA-PBE.

As for the volume: 73.0 Å³/cell. Its energy relative to the elements, uncorrected is 1.284 eV/f.u. The energy is -15.90 eV for the cell shown.

It has space group Pmmm (No. 47), with a = 2.7037 Å, b = 3.5734 Å, c = 7.5608 Å, α = 90.00°, β = 90.00° and γ = 90.00°. The distinct sites, in fractional coordinates, are Si at (0.0000, 0.0000, 0.2361), Ag at (0.5000, 0.5000, 0.0000) and Se at (0.0000, 0.5000, 0.5000).

(3)
Crystalline SiAg2Se at its relaxed geometry. Source: Alexandria via LeMat-Bulk, functional GGA-PBE.

As for the volume: 151.4 Å³/cell. Its energy relative to the elements, uncorrected is 1.172 eV/f.u. The energy is -26.88 eV for the cell shown.

It has space group C2/m (No. 12), with a = 5.6515 Å, b = 7.3347 Å, c = 3.6526 Å, α = 90.00°, β = 91.49° and γ = 90.00°. The distinct sites, in fractional coordinates, are Si at (0.0000, 0.0000, 0.0000), Ag at (0.2500, 0.2500, 0.5000) and Se at (0.0000, 0.5000, 0.0000).

(4)
Crystalline SiAgSe3 at its relaxed geometry. Source: Alexandria via LeMat-Bulk, functional GGA-PBE.

As for the volume: 231.1 Å³/cell. Its energy relative to the elements, uncorrected is -0.417 eV/f.u. The energy is -38.29 eV for the cell shown.

It has space group P6_322 (No. 182), with a = 6.5621 Å, b = 6.5621 Å, c = 6.1958 Å, α = 90.00°, β = 90.00° and γ = 120.00°. The distinct sites, in fractional coordinates, are Si at (0.0000, 0.0000, 0.2500), Ag at (0.3333, 0.6667, 0.2500) and Se at (0.0000, 0.2931, 0.5000).

(5)
Crystalline SiAg2Se at its relaxed geometry. Source: Alexandria via LeMat-Bulk, functional GGA-PBE.

As for the volume: 76.0 Å³/cell. Its energy relative to the elements, uncorrected is 1.007 eV/f.u. The energy is -13.60 eV for the cell shown.

It has space group P4/mmm (No. 123), with a = 3.6748 Å, b = 3.6748 Å, c = 5.6272 Å, α = 90.00°, β = 90.00° and γ = 90.00°. The distinct sites, in fractional coordinates, are Si at (0.0000, 0.0000, 0.0000), Ag at (0.5000, 0.5000, 0.2407) and Se at (0.0000, 0.0000, 0.5000).

(6)
Crystalline SiAg7Se6 at its relaxed geometry. Source: Alexandria via LeMat-Bulk, functional GGA-PBE.

As for the volume: 1402.3 Å³/cell. Its energy relative to the elements, uncorrected is -1.012 eV/f.u. The energy is -189.20 eV for the cell shown.

It has space group Ibam (No. 72), with a = 6.5612 Å, b = 14.4385 Å, c = 14.8020 Å, α = 90.00°, β = 90.00° and γ = 90.00°. The distinct sites, in fractional coordinates, are Si at (0.0000, 0.0000, 0.2500), Ag at (0.0000, 0.5000, 0.2500), Ag at (0.0595, 0.2194, 0.1008), Ag at (0.2239, 0.4697, 0.0000), Se at (0.1349, 0.3484, 0.5000) and Se at (0.2063, 0.0969, 0.3354).

(7)
Crystalline SiAgSe at its relaxed geometry. Source: Alexandria via LeMat-Bulk, functional GGA-PBE.

As for the volume: 261.0 Å³/cell. Its energy relative to the elements, uncorrected is 1.117 eV/f.u. The energy is -42.57 eV for the cell shown.

It has space group F-43m (No. 216), with a = 6.3907 Å, b = 6.3907 Å, c = 6.3907 Å, α = 90.00°, β = 90.00° and γ = 90.00°. The distinct sites, in fractional coordinates, are Si at (0.0000, 0.0000, 0.0000), Ag at (0.2500, 0.2500, 0.2500) and Se at (0.0000, 0.0000, 0.5000).

(8)
Crystalline SiAg2Se at its relaxed geometry. Source: Alexandria via LeMat-Bulk, functional GGA-PBE.

As for the volume: 366.9 Å³/cell. Its energy relative to the elements, uncorrected is 1.496 eV/f.u. The energy is -52.46 eV for the cell shown.

It has space group I-42d (No. 122), with a = 6.5718 Å, b = 6.5718 Å, c = 8.4949 Å, α = 90.00°, β = 90.00° and γ = 90.00°. The distinct sites, in fractional coordinates, are Si at (0.0000, 0.0000, 0.0000), Ag at (0.2318, 0.2500, 0.1250) and Se at (0.0000, 0.0000, 0.5000).

(9)
Crystalline SiAgSe3 at its relaxed geometry. Source: Alexandria via LeMat-Bulk, functional GGA-PBE.

As for the volume: 533.8 Å³/cell. Its energy relative to the elements, uncorrected is -0.780 eV/f.u. The energy is -78.03 eV for the cell shown.

It has space group P2_1/c (No. 14), with a = 6.9148 Å, b = 6.5752 Å, c = 12.7423 Å, α = 90.00°, β = 112.86° and γ = 90.00°. The distinct sites, in fractional coordinates, are Si at (0.0733, 0.2490, 0.0339), Ag at (0.2837, 0.6039, 0.7903), Se at (0.0755, 0.0471, 0.8846), Se at (0.2254, 0.5670, 0.9866) and Se at (0.3698, 0.2254, 0.1999).

(10)
Crystalline SiAg2Se at its relaxed geometry. Source: Alexandria via LeMat-Bulk, functional GGA-PBE.

As for the volume: 151.6 Å³/cell. Its energy relative to the elements, uncorrected is 1.359 eV/f.u. The energy is -26.50 eV for the cell shown.

It has space group I-4m2 (No. 119), with a = 4.0197 Å, b = 4.0197 Å, c = 9.3847 Å, α = 90.00°, β = 90.00° and γ = 90.00°. The distinct sites, in fractional coordinates, are Si at (0.0000, 0.0000, 0.0000), Ag at (0.0000, 0.0000, 0.5000), Ag at (0.0000, 0.5000, 0.7500) and Se at (0.0000, 0.5000, 0.2500).

(11)
Crystalline SiAg2Se at its relaxed geometry. Source: Alexandria via LeMat-Bulk, functional GGA-PBE.

As for the volume: 305.4 Å³/cell. Its energy relative to the elements, uncorrected is 1.541 eV/f.u. The energy is -52.28 eV for the cell shown.

It has space group Fm-3m (No. 225), with a = 6.7346 Å, b = 6.7346 Å, c = 6.7346 Å, α = 90.00°, β = 90.00° and γ = 90.00°. The distinct sites, in fractional coordinates, are Si at (0.0000, 0.0000, 0.0000), Ag at (0.2500, 0.2500, 0.2500) and Se at (0.0000, 0.0000, 0.5000).

(12)
Crystalline Si2AgSe at its relaxed geometry. Source: Alexandria via LeMat-Bulk, functional GGA-PBE.

As for the volume: 198.4 Å³/cell. Its energy relative to the elements, uncorrected is 1.183 eV/f.u. The energy is -32.00 eV for the cell shown.

It has space group Cm (No. 8), with a = 11.2298 Å, b = 3.2340 Å, c = 6.2439 Å, α = 90.00°, β = 118.96° and γ = 90.00°. The distinct sites, in fractional coordinates, are Si at (0.0000, 0.0000, 0.0000), Si at (0.1624, 0.5000, 0.2860), Ag at (0.3253, 0.0000, 0.6595) and Se at (0.2263, 0.0000, 0.0425).

(13)
Crystalline SiAg2Se at its relaxed geometry. Source: Alexandria via LeMat-Bulk, functional GGA-PBE.

As for the volume: 224.2 Å³/cell. Its energy relative to the elements, uncorrected is 1.085 eV/f.u. The energy is -40.58 eV for the cell shown.

It has space group R-3m (No. 166, hexagonal axes), with a = 3.2570 Å, b = 3.2570 Å, c = 24.4021 Å, α = 90.00°, β = 90.00° and γ = 120.00°. The distinct sites, in fractional coordinates, are Si at (0.0000, 0.0000, 0.0000), Ag at (0.0000, 0.0000, 0.2556) and Se at (0.0000, 0.0000, 0.5000).

(14)
Crystalline SiAg4Se4 at its relaxed geometry. Source: Alexandria via LeMat-Bulk, functional GGA-PBE.

As for the volume: 210.5 Å³/cell. Its energy relative to the elements, uncorrected is -1.363 eV/f.u. The energy is -32.13 eV for the cell shown.

It has space group P1 (No. 1), with a = 6.4425 Å, b = 6.4431 Å, c = 6.7639 Å, α = 61.85°, β = 61.89° and γ = 89.12°. The distinct sites, in fractional coordinates, are Si at (0.0000, 0.0000, 0.0000), Ag at (0.0690, 0.5040, 0.0167), Ag at (0.3390, 0.3406, 0.2914), Ag at (0.5045, 0.0714, 0.0154), Ag at (0.5889, 0.5906, 0.7137), Se at (0.0211, 0.0203, 0.3248), Se at (0.3694, 0.9682, 0.7198), Se at (0.6662, 0.6662, 0.2467) and Se at (0.9675, 0.3696, 0.7202).

(15)
Crystalline SiAg2Se at its relaxed geometry. Source: Alexandria via LeMat-Bulk, functional GGA-PBE.

As for the volume: 154.2 Å³/cell. Its energy relative to the elements, uncorrected is 1.239 eV/f.u. The energy is -26.74 eV for the cell shown.

It has space group Cmm2 (No. 35), with a = 3.8353 Å, b = 4.0238 Å, c = 9.9942 Å, α = 90.00°, β = 90.00° and γ = 90.00°. The distinct sites, in fractional coordinates, are Si at (0.0000, 0.0000, 0.0000), Ag at (0.0000, 0.0000, 0.5612), Ag at (0.0000, 0.5000, 0.7873) and Se at (0.0000, 0.5000, 0.3196).

(16)
Crystalline SiAgSe at its relaxed geometry. Source: Alexandria via LeMat-Bulk, functional GGA-PBE.

As for the volume: 260.7 Å³/cell. Its energy relative to the elements, uncorrected is 1.224 eV/f.u. The energy is -42.14 eV for the cell shown.

It has space group F-43m (No. 216), with a = 6.3879 Å, b = 6.3879 Å, c = 6.3879 Å, α = 90.00°, β = 90.00° and γ = 90.00°. The distinct sites, in fractional coordinates, are Si at (0.0000, 0.0000, 0.0000), Ag at (0.2500, 0.2500, 0.2500) and Se at (0.2500, 0.2500, 0.7500).

(17)
Crystalline SiAgSnSe4 at its relaxed geometry. Source: Alexandria via LeMat-Bulk, functional GGA-PBE.

As for the volume: 420.4 Å³/cell. Its energy relative to the elements, uncorrected is -2.035 eV/f.u. The energy is -56.50 eV for the cell shown.

It has space group I-4 (No. 82), with a = 6.2911 Å, b = 6.2911 Å, c = 10.6226 Å, α = 90.00°, β = 90.00° and γ = 90.00°. The distinct sites, in fractional coordinates, are Si at (0.0000, 0.0000, 0.0000), Ag at (0.0000, 0.5000, 0.2500), Sn at (0.0000, 0.5000, 0.7500) and Se at (0.2195, 0.2363, 0.1025).

(18)
Crystalline SiAg2SnSe4 at its relaxed geometry. Source: Alexandria via LeMat-Bulk, functional GGA-PBE.

As for the volume: 702.2 Å³/cell. Its energy relative to the elements, uncorrected is -1.412 eV/f.u. The energy is -121.91 eV for the cell shown.

It has space group Imma (No. 74), with a = 7.7958 Å, b = 8.0404 Å, c = 11.2030 Å, α = 90.00°, β = 90.00° and γ = 90.00°. The distinct sites, in fractional coordinates, are Si at (0.2500, 0.2500, 0.2500), Ag at (0.0000, 0.0000, 0.0000), Ag at (0.2500, 0.2500, 0.7500), Sn at (0.0000, 0.0000, 0.5000), Se at (0.0000, 0.0193, 0.2468) and Se at (0.2429, 0.2500, 0.0102).

(19)
Crystalline SiAg2Te2Se at its relaxed geometry. Source: Alexandria via LeMat-Bulk, functional GGA-PBE.

As for the volume: 699.2 Å³/cell. Its energy relative to the elements, uncorrected is -0.698 eV/f.u. The energy is -86.36 eV for the cell shown.

It has space group Cmc2_1 (No. 36), with a = 13.2246 Å, b = 7.5631 Å, c = 6.9903 Å, α = 90.00°, β = 90.00° and γ = 90.00°. The distinct sites, in fractional coordinates, are Si at (0.0000, 0.1464, 0.0000), Ag at (0.1507, 0.3359, 0.5129), Te at (0.1577, 0.3076, 0.9085) and Se at (0.0000, 0.1393, 0.3559).

(20)
Crystalline SiAgTeSe2 at its relaxed geometry. Source: Alexandria via LeMat-Bulk, functional GGA-PBE.

As for the volume: 126.9 Å³/cell. Its energy relative to the elements, uncorrected is 3.642 eV/f.u. The energy is -14.74 eV for the cell shown.

It has space group P4/mmm (No. 123), with a = 5.1195 Å, b = 5.1195 Å, c = 4.8431 Å, α = 90.00°, β = 90.00° and γ = 90.00°. The distinct sites, in fractional coordinates, are Si at (0.0000, 0.0000, 0.0000), Ag at (0.0000, 0.0000, 0.5000), Te at (0.5000, 0.5000, 0.0000) and Se at (0.0000, 0.5000, 0.5000).

(21)
Crystalline Tl2SiAgSe4 at its relaxed geometry. Source: Alexandria via LeMat-Bulk, functional GGA-PBE.

As for the volume: 773.6 Å³/cell. Its energy relative to the elements, uncorrected is -1.540 eV/f.u. The energy is -113.94 eV for the cell shown.

It has space group Imma (No. 74), with a = 7.7926 Å, b = 8.6439 Å, c = 11.4843 Å, α = 90.00°, β = 90.00° and γ = 90.00°. The distinct sites, in fractional coordinates, are Tl at (0.0000, 0.0000, 0.0000), Tl at (0.2500, 0.2500, 0.2500), Si at (0.2500, 0.2500, 0.7500), Ag at (0.0000, 0.0000, 0.5000), Se at (0.0000, 0.0482, 0.7426) and Se at (0.2341, 0.2500, 0.5304).

(22)
Crystalline SiAg2WSe at its relaxed geometry. Source: Alexandria via LeMat-Bulk, functional GGA-PBE.

As for the volume: 119.0 Å³/cell. Its energy relative to the elements, uncorrected is 8.042 eV/f.u. The energy is -19.52 eV for the cell shown.

It has space group P4/mmm (No. 123), with a = 4.7882 Å, b = 4.7882 Å, c = 5.1906 Å, α = 90.00°, β = 90.00° and γ = 90.00°. The distinct sites, in fractional coordinates, are Si at (0.0000, 0.0000, 0.0000), Ag at (0.0000, 0.5000, 0.5000), W at (0.5000, 0.5000, 0.0000) and Se at (0.0000, 0.0000, 0.5000).

(23)
Crystalline YSiAg2Se4 at its relaxed geometry. Source: Alexandria via LeMat-Bulk, functional GGA-PBE.

As for the volume: 443.2 Å³/cell. Its energy relative to the elements, uncorrected is -4.476 eV/f.u. The energy is -72.01 eV for the cell shown.

It has space group Pmn2_1 (No. 31), with a = 8.5570 Å, b = 7.5210 Å, c = 6.8865 Å, α = 90.00°, β = 90.00° and γ = 90.00°. The distinct sites, in fractional coordinates, are Y at (0.0000, 0.1632, 0.0000), Si at (0.0000, 0.8053, 0.5293), Ag at (0.2335, 0.2872, 0.5591), Se at (0.0000, 0.1064, 0.4023), Se at (0.0000, 0.8158, 0.8765) and Se at (0.2286, 0.6432, 0.4298).

(24)
Crystalline Sm5AgSe4 at its relaxed geometry. Source: Alexandria via LeMat-Bulk, functional GGA-PBE.

As for the volume: 523.5 Å³/cell. Its energy relative to the elements, uncorrected is -14.945 eV/f.u. The energy is -110.66 eV for the cell shown.

It has space group C2/m (No. 12), with a = 14.0702 Å, b = 4.1546 Å, c = 10.3501 Å, α = 90.00°, β = 120.09° and γ = 90.00°. The distinct sites, in fractional coordinates, are Sm at (0.0000, 0.0000, 0.0000), Sm at (0.1036, 0.5000, 0.3958), Sm at (0.2019, 0.0000, 0.8040), Ag at (0.0000, 0.0000, 0.5000), Se at (0.0998, 0.5000, 0.9013) and Se at (0.2017, 0.0000, 0.2984).